A geometry-optimized Ba2PdWO6 structure, computed with PBE+U.

Raw total energy ... -133.07 eV/cell
Crystal system ... tetragonal

CIF file:
```
data_Ba2PdWO6
_chemical_formula_sum 'Ba4 Pd2 W2 O12'
_cell_length_a 5.907
_cell_length_b 5.907
_cell_length_c 8.449
_cell_angle_alpha 90.00
_cell_angle_beta 90.00
_cell_angle_gamma 90.00
_symmetry_space_group_name_H-M 'I 4/m m m'
_symmetry_Int_Tables_number 139
_symmetry_space_group_name_Hall '-I 4 2'
loop_
_atom_site_label
_atom_site_type_symbol
_atom_site_fract_x
_atom_site_fract_y
_atom_site_fract_z
Ba1 Ba 0.000 0.500 0.250
Pd1 Pd 0.000 0.000 0.000
W1 W 0.000 0.000 0.500
O1 O 0.000 0.000 0.269
O2 O 0.234 0.234 0.500
```